Below is SmZnHg after structural relaxation, with properties calculated at the PBE level.

a = 4.7100 Å, b = 5.9409 Å, c = 5.9718 Å
α = 75.35°, β = 66.77°, γ = 66.65°
Positions (direct):
Sm 0.4828 0.7644 0.2699
Sm 0.5172 0.2356 0.7301
Hg 0.8229 0.6472 0.7071
Hg 0.1771 0.3528 0.2929
Zn 0.8448 0.1833 0.1271
Zn 0.1552 0.8167 0.8729

Summary:
ΔE_f: -0.403 eV per atom
total magnetization: 0.000 μB/f.u.

Below is Sm5ZnHg4 after structural relaxation, with properties calculated at the PBE level.

a = 3.7501 Å, b = 3.7501 Å, c = 18.9392 Å
α = 90.00°, β = 90.00°, γ = 90.00°
Last column: magnetic moment on the atom in μB.
Positions (direct):
Hg 0.0000 0.0000 0.8069  0.01
Hg 0.0000 0.0000 0.1931  0.01
Hg 0.0000 0.0000 0.3983  0.02
Hg 0.0000 0.0000 0.6017  0.02
Sm 0.5000 0.5000 0.2964  0.18
Sm 0.5000 0.5000 0.9088  0.08
Sm 0.5000 0.5000 0.7036  0.18
Sm 0.5000 0.5000 0.5000  0.19
Sm 0.5000 0.5000 0.0912  0.08
Zn 0.0000 0.0000 0.0000  0.01

Summary:
ΔE_f: -0.441 eV per atom
total magnetization: 1.442 μB/f.u.

Below is Sm12ZnHg6 after structural relaxation, with properties calculated at the PBE level.

a = 8.7934 Å, b = 8.7934 Å, c = 8.7934 Å
α = 100.13°, β = 100.13°, γ = 100.13°
Positions (direct):
Hg 0.3735 0.6899 0.8659
Hg 0.8659 0.3735 0.6899
Hg 0.6899 0.8659 0.3735
Hg 0.6265 0.3101 0.1341
Hg 0.1341 0.6265 0.3101
Hg 0.3101 0.1341 0.6265
Sm 0.0635 0.9572 0.3202
Sm 0.1838 0.4243 0.5707
Sm 0.8162 0.5757 0.4293
Sm 0.5757 0.4293 0.8162
Sm 0.5707 0.1838 0.4243
Sm 0.4293 0.8162 0.5757
Sm 0.6798 0.9365 0.0428
Sm 0.0428 0.6798 0.9365
Sm 0.9572 0.3202 0.0635
Sm 0.3202 0.0635 0.9572
Sm 0.4243 0.5707 0.1838
Sm 0.9365 0.0428 0.6798
Zn 0.0000 0.0000 0.0000

Summary:
ΔE_f: -0.049 eV per atom
total magnetization: 0.002 μB/f.u.

Below is Sm8ZnHg2 after structural relaxation, with properties calculated at the PBE level.

a = 5.3689 Å, b = 6.7384 Å, c = 9.4462 Å
α = 92.50°, β = 106.51°, γ = 90.00°
Positions (direct):
Sm 0.0320 0.7636 0.0639
Sm 0.7903 0.4124 0.5806
Sm 0.2097 0.5876 0.4194
Sm 0.3292 0.0956 0.6584
Sm 0.4082 0.5943 0.8163
Sm 0.6708 0.9044 0.3416
Sm 0.9680 0.2364 0.9361
Sm 0.5918 0.4057 0.1837
Hg 0.8471 0.8580 0.6941
Hg 0.1529 0.1420 0.3059
Zn 0.5000 0.0000 0.0000

Summary:
ΔE_f: -0.211 eV per atom
total magnetization: 0.000 μB/f.u.

Below is Sm8Zn2Hg after structural relaxation, with properties calculated at the PBE level.

a = 5.0641 Å, b = 8.4448 Å, c = 8.9192 Å
α = 118.26°, β = 106.49°, γ = 90.00°
Positions (direct):
Hg 0.5000 0.0000 0.0000
Sm 0.6643 0.8834 0.3286
Sm 0.3357 0.5548 0.6714
Sm 0.0000 0.3187 0.0000
Sm 0.6643 0.4452 0.3286
Sm 0.1364 0.1364 0.2728
Sm 0.8636 0.8636 0.7272
Sm 0.0000 0.6813 0.0000
Sm 0.3357 0.1166 0.6714
Zn 0.8071 0.3071 0.6141
Zn 0.1929 0.6929 0.3859

Summary:
ΔE_f: -0.095 eV per atom
total magnetization: 0.000 μB/f.u.

Below is Sm2Zn2Hg after structural relaxation, with properties calculated at the PBE level.

a = 4.6250 Å, b = 5.8971 Å, c = 9.9213 Å
α = 88.38°, β = 76.52°, γ = 66.91°
Positions (direct):
Hg 0.3877 0.8830 0.3417
Hg 0.6123 0.1170 0.6583
Zn 0.0639 0.3069 0.5652
Zn 0.6320 0.8448 0.8912
Zn 0.3680 0.1552 0.1088
Zn 0.9361 0.6931 0.4348
Sm 0.3099 0.7143 0.6658
Sm 0.0892 0.7185 0.1032
Sm 0.6901 0.2857 0.3342
Sm 0.9108 0.2815 0.8968

Summary:
ΔE_f: -0.334 eV per atom
total magnetization: 0.000 μB/f.u.

Below is Sm4Zn2Hg5 after structural relaxation, with properties calculated at the PBE level.

a = 3.7633 Å, b = 7.8971 Å, c = 9.4773 Å
α = 88.34°, β = 90.00°, γ = 90.00°
Positions (direct):
Hg 0.0000 0.5834 0.3469
Hg 0.0000 0.1404 0.1344
Hg 0.0000 0.5000 0.0000
Hg 0.0000 0.8596 0.8656
Hg 0.0000 0.4166 0.6531
Sm 0.5000 0.8003 0.1399
Sm 0.5000 0.1997 0.8601
Sm 0.5000 0.2551 0.4011
Sm 0.5000 0.7449 0.5989
Zn 0.0000 0.9385 0.3794
Zn 0.0000 0.0615 0.6206

Summary:
ΔE_f: -0.375 eV per atom
total magnetization: 0.001 μB/f.u.

Below is Sm2ZnHg3 after structural relaxation, with properties calculated at the PBE level.

a = 6.0134 Å, b = 6.0134 Å, c = 9.7489 Å
α = 113.70°, β = 113.70°, γ = 72.36°
Positions (direct):
Zn 0.3329 0.3329 0.6658
Zn 0.6671 0.6671 0.3342
Hg 0.1732 0.1732 0.8281
Hg 0.8268 0.8268 0.1719
Hg 0.3451 0.3451 0.1719
Hg 0.6549 0.6549 0.8281
Hg 0.8278 0.8278 0.6557
Hg 0.1722 0.1722 0.3443
Sm 0.7537 0.2463 0.0000
Sm 0.7500 0.2500 0.5000
Sm 0.2500 0.7500 0.5000
Sm 0.2463 0.7537 0.0000

Summary:
ΔE_f: -0.418 eV per atom
total magnetization: 0.000 μB/f.u.

Copy entry 5 word for word.
Below is Sm8Zn2Hg after structural relaxation, with properties calculated at the PBE level.

a = 5.0641 Å, b = 8.4448 Å, c = 8.9192 Å
α = 118.26°, β = 106.49°, γ = 90.00°
Positions (direct):
Hg 0.5000 0.0000 0.0000
Sm 0.6643 0.8834 0.3286
Sm 0.3357 0.5548 0.6714
Sm 0.0000 0.3187 0.0000
Sm 0.6643 0.4452 0.3286
Sm 0.1364 0.1364 0.2728
Sm 0.8636 0.8636 0.7272
Sm 0.0000 0.6813 0.0000
Sm 0.3357 0.1166 0.6714
Zn 0.8071 0.3071 0.6141
Zn 0.1929 0.6929 0.3859

Summary:
ΔE_f: -0.095 eV per atom
total magnetization: 0.000 μB/f.u.